Below is an optimized crystal structure of NiAg8, with properties calculated at the PBE level.

Cell: 6.4572 6.4572 6.4572 Å, 95.77 95.77 143.03°
Atoms (fractional coordinates):
Ag 0.3375 0.6625 0.0000
Ag 0.3375 0.3375 0.6750
Ag 0.6625 0.6625 0.3250
Ag 0.6712 0.0000 0.6712
Ag 0.6625 0.3375 0.0000
Ag 0.3288 0.0000 0.3288
Ag 0.0000 0.3288 0.3288
Ag 0.0000 0.6712 0.6712
Ni 0.0000 0.0000 0.0000

## Properties
Crystal system: tetragonal
E: -3.053 eV per atom
Formation energy from the elements: 0.08 eV/atom
Calculated volume: 17.064 Å³ per atom

Below is an optimized crystal structure of NiAg2, with properties calculated at the PBE level.

Cell: 7.9399 7.9399 7.9399 Å, 60.00 60.00 60.00°
Atoms (fractional coordinates):
Ag 0.5000 0.0000 0.0000
Ag 0.0000 0.5000 0.0000
Ag 0.0000 0.0000 0.5000
Ag 0.0000 0.0000 0.0000
Ni 0.8750 0.8750 0.8750
Ni 0.1250 0.1250 0.1250

## Properties
Excess energy over the best structure of this formula in the dataset: 3.63 eV/f.u.
Crystal system: cubic
E: -2.277 eV per atom
Formation energy from the elements: 1.46 eV/atom
Calculated volume: 58.991 Å³ per atom

Below is an optimized crystal structure of NiAg, with properties calculated at the PBE level.

Cell: 3.5860 3.5860 3.5860 Å, 60.00 60.00 60.00°
Atoms (fractional coordinates):
Ag 0.0000 0.0000 0.0000
Ni 0.5000 0.5000 0.5000

## Properties
Crystal system: cubic
E: -3.423 eV per atom
Formation energy from the elements: 0.77 eV/atom
Calculated volume: 16.303 Å³ per atom

no.,spin magnetization (μB/cell)
1,0.007
2,0.023
3,0.547